[1]
A plane-wave DFT calculation with PBE was carried out for ZrBi2 after structural relaxation.

a b c (Å): 5.8265 5.8265 8.2510
angles (deg): 111.94 111.94 40.87
Atoms (fractional coordinates):
Zr 0.1601 0.1601 0.1649
Zr 0.8399 0.8399 0.8351
Bi 0.1583 0.1583 0.5483
Bi 0.4399 0.4399 0.1529
Bi 0.5601 0.5601 0.8471
Bi 0.8417 0.8417 0.4517

Properties
Formation energy = -260 meV/atom
DOS(E_F) = 1.82 states/eV/cell
Magnetic moment = 0.00 μB per formula unit

[2]
A plane-wave DFT calculation with PBE was carried out for HfBRu after structural relaxation.

a b c (Å): 5.3421 5.3421 3.1192
angles (deg): 90.00 90.00 100.44
Atoms (fractional coordinates):
Hf 0.2133 0.7867 0.0000
Hf 0.7867 0.2133 0.0000
B 0.0000 0.0000 0.5000
B 0.5000 0.5000 0.0000
Ru 0.2972 0.2972 0.5000
Ru 0.7028 0.7028 0.5000

Properties
Formation energy = -396 meV/atom
DOS(E_F) = 3.78 states/eV/cell
Magnetic moment = 0.00 μB per formula unit

[3]
A plane-wave DFT calculation with PBE was carried out for RbNiAsBr6 after structural relaxation.

a b c (Å): 6.8225 6.8225 7.8103
angles (deg): 90.00 90.00 120.00
Atoms (fractional coordinates):
Rb 0.0000 0.0000 0.0000
Ni 0.3333 0.6667 0.5000
As 0.6667 0.3333 0.5000
Br 0.0127 0.3771 0.6909
Br 0.0127 0.6356 0.3091
Br 0.3644 0.3771 0.3091
Br 0.3644 0.9873 0.6909
Br 0.6229 0.6356 0.6909
Br 0.6229 0.9873 0.3091

Properties
Formation energy from raw total energies = -6.05 eV/f.u.
Magnetic moment = 2.10 μB per formula unit

[4]
A plane-wave DFT calculation with PBE was carried out for Sc2HgS2 after structural relaxation.

a b c (Å): 6.6230 6.6230 6.6230
angles (deg): 140.28 140.28 57.43
Atoms (fractional coordinates):
Sc 0.1475 0.1475 0.0000
Sc 0.8525 0.8525 0.0000
Hg 0.5000 0.5000 0.0000
S 0.2500 0.7500 0.5000
S 0.7500 0.2500 0.5000

Properties
Formation energy from raw total energies = -5.48 eV/f.u.
DOS(E_F) = 2.19 states/eV/cell
Magnetic moment = 0.00 μB per formula unit

[5]
A plane-wave DFT calculation with PBE was carried out for SrOs after structural relaxation.

a b c (Å): 8.3404 8.3404 8.3404
angles (deg): 93.65 93.65 150.77
Atoms (fractional coordinates):
Sr 0.0000 0.2711 0.2711
Sr 0.0000 0.7289 0.7289
Sr 0.2711 0.0000 0.2711
Sr 0.7289 0.0000 0.7289
Os 0.2829 0.2829 0.5658
Os 0.2829 0.7171 0.0000
Os 0.7171 0.2829 0.0000
Os 0.7171 0.7171 0.4342

Properties
Formation energy = 517 meV/atom
DOS(E_F) = 8.26 states/eV/cell
Magnetic moment = 0.00 μB per formula unit

[6]
A plane-wave DFT calculation with PBE was carried out for LaPm2Pr2Dy after structural relaxation.

a b c (Å): 7.1617 5.8167 10.0511
angles (deg): 90.00 90.00 90.00
Atoms (fractional coordinates):
La 0.0000 0.0000 0.0000
La 0.5000 0.0000 0.0000
Pm 0.2500 0.0000 0.3343
Pm 0.2500 0.5000 0.8314
Pm 0.7500 0.0000 0.6657
Pm 0.7500 0.5000 0.1686
Pr 0.0000 0.5000 0.5000
Pr 0.2500 0.0000 0.6693
Pr 0.5000 0.5000 0.5000
Pr 0.7500 0.0000 0.3307
Dy 0.2500 0.5000 0.1652
Dy 0.7500 0.5000 0.8348

Properties
Formation energy = 52 meV/atom
DOS(E_F) = 17.63 states/eV/cell
Magnetic moment = 0.00 μB per formula unit

[7]
A plane-wave DFT calculation with PBE was carried out for TbEuOs after structural relaxation.

a b c (Å): 7.1391 7.1391 7.1391
angles (deg): 151.99 151.99 40.02
Atoms (fractional coordinates):
Tb 0.0000 0.0000 0.0000
Eu 0.7496 0.7496 0.0000
Os 0.3859 0.3859 0.0000

Properties
Formation energy = 28 meV/atom
DOS(E_F) = 7.52 states/eV/cell
Magnetic moment = 6.94 μB per formula unit

[8]
A plane-wave DFT calculation with PBE was carried out for Ta2TiNb5 after structural relaxation.

a b c (Å): 7.4033 7.4033 7.4033
angles (deg): 143.22 143.22 52.99
Atoms (fractional coordinates):
Ta 0.2478 0.2478 0.0000
Ta 0.7522 0.7522 0.0000
Ti 0.0000 0.0000 0.0000
Nb 0.1252 0.6252 0.5000
Nb 0.3748 0.8748 0.5000
Nb 0.5000 0.5000 0.0000
Nb 0.6252 0.1252 0.5000
Nb 0.8748 0.3748 0.5000

Properties
Formation energy = 4 meV/atom
DOS(E_F) = 14.97 states/eV/cell
Magnetic moment = 0.00 μB per formula unit

[9]
A plane-wave DFT calculation with PBE was carried out for NaScRe3 after structural relaxation.

a b c (Å): 4.7032 4.7032 4.7032
angles (deg): 90.00 90.00 90.00
Atoms (fractional coordinates):
Na 0.0000 0.0000 0.0000
Sc 0.5000 0.5000 0.5000
Re 0.0000 0.5000 0.5000
Re 0.5000 0.0000 0.5000
Re 0.5000 0.5000 0.0000

Properties
Formation energy = 2432 meV/atom
DOS(E_F) = 6.83 states/eV/cell
Magnetic moment = 0.88 μB per formula unit

[10]
A plane-wave DFT calculation with PBE was carried out for ZnInW2 after structural relaxation.

a b c (Å): 3.3051 4.4375 4.5968
angles (deg): 90.00 90.00 90.00
Atoms (fractional coordinates):
Zn 0.0000 0.0000 0.0000
In 0.5000 0.5000 0.0000
W 0.0000 0.5000 0.5000
W 0.5000 0.0000 0.5000

Properties
Formation energy = 476 meV/atom
DOS(E_F) = 2.31 states/eV/cell
Magnetic moment = 0.00 μB per formula unit

[11]
A plane-wave DFT calculation with PBE was carried out for SmHo3Hg6 after structural relaxation.

a b c (Å): 9.1671 5.1690 11.1538
angles (deg): 90.00 106.94 90.00
Atoms (fractional coordinates):
Sm 0.0650 0.2500 0.3865
Sm 0.9350 0.7500 0.6135
Ho 0.2304 0.2500 0.0050
Ho 0.3530 0.7500 0.8031
Ho 0.4858 0.2500 0.6126
Ho 0.5142 0.7500 0.3874
Ho 0.6470 0.2500 0.1969
Ho 0.7696 0.7500 0.9950
Hg 0.0633 0.7500 0.9051
Hg 0.1399 0.7500 0.2052
Hg 0.1705 0.2500 0.6905
Hg 0.2510 0.7500 0.5176
Hg 0.3558 0.2500 0.2936
Hg 0.4635 0.7500 0.0927
Hg 0.5365 0.2500 0.9073
Hg 0.6442 0.7500 0.7064
Hg 0.7490 0.2500 0.4824
Hg 0.8295 0.7500 0.3095
Hg 0.8601 0.2500 0.7948
Hg 0.9367 0.2500 0.0949

Properties
Formation energy = -429 meV/atom
DOS(E_F) = 13.15 states/eV/cell
Magnetic moment = 0.00 μB per formula unit

[12]
A plane-wave DFT calculation with PBE was carried out for CaTe2Br after structural relaxation.

a b c (Å): 5.4960 5.4960 5.4960
angles (deg): 119.00 119.00 91.74
Atoms (fractional coordinates):
Ca 0.0000 0.0000 0.0000
Te 0.5000 0.5000 0.0000
Te 0.7500 0.2500 0.5000
Br 0.2500 0.7500 0.5000

Properties
Formation energy from raw total energies = -2.22 eV/f.u.
DOS(E_F) = 6.12 states/eV/cell
Magnetic moment = 0.00 μB per formula unit